# MgSiOs

Crystalline MgSiOs at its relaxed geometry (GGA-PBE, the Alexandria database).

Magnetic moment (μB/cell): 0.0
N(E_F) (states/eV per cell): 4.49
Raw formation energy (eV per formula unit): -0.6

Cell: 6.7548 2.9293 10.4092 Å, 90.00 113.79 90.00°
Closest atoms and distances in Å follow each position.
Fractional positions:
Os1 0.0127 0.0000 0.6419  4 Si 2.47-2.54, 1 Mg 2.74, 2 Os 2.75
Os2 0.9873 0.0000 0.3581  4 Si 2.47-2.54, 1 Mg 2.74, 2 Os 2.75
Os3 0.9873 0.5000 0.8581  4 Si 2.47-2.54, 1 Mg 2.74, 2 Os 2.75
Os4 0.0127 0.5000 0.1419  4 Si 2.47-2.54, 1 Mg 2.74, 2 Os 2.75
Si1 0.2292 0.0000 0.0465  4 Os 2.47-2.54
Si2 0.7708 0.0000 0.9535  4 Os 2.47-2.54
Si3 0.7708 0.5000 0.4535  4 Os 2.47-2.54
Si4 0.2292 0.5000 0.5465  4 Os 2.47-2.54
Mg1 0.3791 0.5000 0.8375  3 Os 2.74-2.89, 3 Si 2.78-2.83, 2 Mg 2.93
Mg2 0.6209 0.0000 0.6625  3 Os 2.74-2.89, 3 Si 2.78-2.83, 2 Mg 2.93
Mg3 0.6209 0.5000 0.1625  3 Os 2.74-2.89, 3 Si 2.78-2.83, 2 Mg 2.93
Mg4 0.3791 0.0000 0.3375  3 Os 2.74-2.89, 3 Si 2.78-2.83, 2 Mg 2.93